# LiLaBiAu, relaxed, DFT GGA-PBE
data_LiLaBiAu
_cell_length_a 5.2836
_cell_length_b 5.2836
_cell_length_c 5.2836
_cell_angle_alpha 60.00
_cell_angle_beta 60.00
_cell_angle_gamma 60.00
_symmetry_space_group_name_H-M 'P 1'
_symmetry_Int_Tables_number 1
loop_
_symmetry_equiv_pos_as_xyz
'x,y,z'
loop_
_atom_site_label
_atom_site_fract_x
_atom_site_fract_y
_atom_site_fract_z
Au1 0.0000 0.0000 0.0000
Bi1 0.5000 0.5000 0.5000
La1 0.2500 0.2500 0.2500
Li1 0.7500 0.7500 0.7500
# total magnetization = 0.00 μB per formula unit
# VASP energy = -0.1561 Ha/atom
# relative energy among the computed polymorphs = 0 meV/atom